1.
# DySnAu3

A relaxed DySnAu3 crystal (PBE-GGA, the Alexandria database).

Cell lengths 4.7995, 6.6268, 6.8435 Å; angles 90.00, 90.00, 90.00 degrees
Last column: nearest neighbours and their distance in Å.
Atoms (fractional coordinates):
Dy1 0.7500 0.2500 0.1926  6 Au 2.94-3.10
Dy2 0.2500 0.7500 0.8074  6 Au 2.94-3.10
Sn1 0.7500 0.7500 0.4500  3 Au 2.70-2.80
Sn2 0.2500 0.2500 0.5500  3 Au 2.70-2.80
Au1 0.7500 0.7500 0.0556  1 Sn 2.70, 2 Au 2.85, 2 Dy 2.94
Au2 0.2500 0.2500 0.9444  1 Sn 2.70, 2 Au 2.85, 2 Dy 2.94
Au3 0.7500 0.0397 0.7478  4 Au 2.79-3.08, 3 Sn 2.80-3.09, 2 Dy 3.10
Au4 0.7500 0.4603 0.7478  4 Au 2.79-3.08, 3 Sn 2.80-3.09, 2 Dy 3.10
Au5 0.2500 0.9603 0.2522  4 Au 2.79-3.08, 3 Sn 2.80-3.09, 2 Dy 3.10
Au6 0.2500 0.5397 0.2522  4 Au 2.79-3.08, 3 Sn 2.80-3.09, 2 Dy 3.10

## Properties
For the density of states at the Fermi level, the calculation gives 4.688 states/eV/cell. The energy of formation from the pure elements comes out at -0.523 eV per atom.

2.
# Dy3Sn2Au

A relaxed Dy3Sn2Au crystal (PBE-GGA, the Alexandria database).

Cell lengths 4.5447, 11.6743, 12.1971 Å; angles 90.00, 90.00, 90.00 degrees
Last column: nearest neighbours and their distance in Å.
Atoms (fractional coordinates):
Dy1 0.2500 0.3756 0.0491  1 Au 2.98, 5 Sn 3.10-3.28
Dy2 0.7500 0.6244 0.9509  1 Au 2.98, 5 Sn 3.10-3.28
Dy3 0.7500 0.8756 0.4509  1 Au 2.98, 5 Sn 3.10-3.28
Dy4 0.2500 0.1244 0.5491  1 Au 2.98, 5 Sn 3.10-3.28
Dy5 0.2500 0.6957 0.2226  2 Au 2.97, 1 Sn 3.06
Dy6 0.7500 0.3043 0.7774  2 Au 2.97, 1 Sn 3.06
Dy7 0.7500 0.1957 0.2774  2 Au 2.97, 1 Sn 3.06
Dy8 0.2500 0.8043 0.7226  2 Au 2.97, 1 Sn 3.06
Dy9 0.2500 0.4382 0.3718  5 Sn 3.16-3.31, 3 Au 3.24-3.29, 1 Dy 3.51
Dy10 0.7500 0.5618 0.6282  5 Sn 3.16-3.31, 3 Au 3.24-3.29, 1 Dy 3.51
Dy11 0.7500 0.9382 0.1282  5 Sn 3.16-3.31, 3 Au 3.24-3.29, 1 Dy 3.51
Dy12 0.2500 0.0618 0.8718  5 Sn 3.16-3.31, 3 Au 3.24-3.29, 1 Dy 3.51
Sn1 0.2500 0.6902 0.4969  2 Au 2.83, 3 Dy 3.06-3.16
Sn2 0.7500 0.3098 0.5031  2 Au 2.83, 3 Dy 3.06-3.16
Sn3 0.7500 0.1902 0.0031  2 Au 2.83, 3 Dy 3.06-3.16
Sn4 0.2500 0.8098 0.9969  2 Au 2.83, 3 Dy 3.06-3.16
Sn5 0.2500 0.9866 0.3146  1 Au 2.83, 2 Dy 3.10
Sn6 0.7500 0.0134 0.6854  1 Au 2.83, 2 Dy 3.10
Sn7 0.7500 0.4866 0.1854  1 Au 2.83, 2 Dy 3.10
Sn8 0.2500 0.5134 0.8146  1 Au 2.83, 2 Dy 3.10
Au1 0.2500 0.1355 0.1319  3 Sn 2.83, 3 Dy 2.97-2.98
Au2 0.7500 0.8645 0.8681  3 Sn 2.83, 3 Dy 2.97-2.98
Au3 0.7500 0.6355 0.3681  3 Sn 2.83, 3 Dy 2.97-2.98
Au4 0.2500 0.3645 0.6319  3 Sn 2.83, 3 Dy 2.97-2.98

## Properties
For the density of states at the Fermi level, the calculation gives 17.680 states/eV/cell. The energy of formation from the pure elements comes out at -0.733 eV per atom.

3.
# DySn2Au4

A relaxed DySn2Au4 crystal (PBE-GGA, the Alexandria database).

Cell lengths 4.7773, 4.7773, 8.7309 Å; angles 69.28, 69.28, 59.84 degrees
Last column: nearest neighbours and their distance in Å.
Atoms (fractional coordinates):
Dy1 0.0000 0.0000 0.0000  8 Au 3.07-3.11
Sn1 0.7856 0.7856 0.7307  7 Au 2.84-2.93
Sn2 0.2144 0.2144 0.2693  7 Au 2.84-2.93
Au1 0.8277 0.8277 0.3907  4 Sn 2.84-2.93, 2 Au 3.00, 1 Dy 3.11
Au2 0.1723 0.1723 0.6093  4 Sn 2.84-2.93, 2 Au 3.00, 1 Dy 3.11
Au3 0.5942 0.5942 0.1695  3 Sn 2.85-2.90, 3 Dy 3.07
Au4 0.4058 0.4058 0.8305  3 Sn 2.85-2.90, 3 Dy 3.07

## Properties
For the density of states at the Fermi level, the calculation gives 3.261 states/eV/cell. The energy of formation from the pure elements comes out at -0.397 eV per atom.

4.
# SrDySnAu

A relaxed SrDySnAu crystal (PBE-GGA, the Alexandria database).

Cell lengths 5.3922, 5.3922, 5.3922 Å; angles 60.00, 60.00, 60.00 degrees
Last column: nearest neighbours and their distance in Å.
Atoms (fractional coordinates):
Sr1 0.5000 0.5000 0.5000  4 Au 3.30, 4 Sn 3.30
Au1 0.7500 0.7500 0.7500  4 Sr 3.30, 4 Dy 3.30
Sn1 0.2500 0.2500 0.2500  4 Sr 3.30, 4 Dy 3.30
Dy1 0.0000 0.0000 0.0000  4 Sn 3.30, 4 Au 3.30

## Properties
For the density of states at the Fermi level, the calculation gives 1.528 states/eV/cell. The energy of formation from the pure elements comes out at -0.674 eV per atom.

5.
# DyYSnAu

A relaxed DyYSnAu crystal (PBE-GGA, the Alexandria database).

Cell lengths 5.2215, 5.2215, 5.2215 Å; angles 60.00, 60.00, 60.00 degrees
Last column: nearest neighbours and their distance in Å.
Atoms (fractional coordinates):
Y1 0.7500 0.7500 0.7500  4 Sn 3.20, 4 Au 3.20
Au1 0.5000 0.5000 0.5000  4 Dy 3.20, 4 Y 3.20
Sn1 0.0000 0.0000 0.0000  4 Dy 3.20, 4 Y 3.20
Dy1 0.2500 0.2500 0.2500  4 Sn 3.20, 4 Au 3.20

## Properties
For the density of states at the Fermi level, the calculation gives 3.844 states/eV/cell. The energy of formation from the pure elements comes out at -0.728 eV per atom.

6.
# DyZnSnAu

A relaxed DyZnSnAu crystal (PBE-GGA, the Alexandria database).

Cell lengths 4.9483, 4.9483, 4.9483 Å; angles 60.00, 60.00, 60.00 degrees
Last column: nearest neighbours and their distance in Å.
Atoms (fractional coordinates):
Zn1 0.5000 0.5000 0.5000  4 Sn 3.03, 4 Dy 3.03
Au1 0.0000 0.0000 0.0000  4 Dy 3.03, 4 Sn 3.03
Sn1 0.2500 0.2500 0.2500  4 Au 3.03, 4 Zn 3.03
Dy1 0.7500 0.7500 0.7500  4 Au 3.03, 4 Zn 3.03

## Properties
For the density of states at the Fermi level, the calculation gives 1.958 states/eV/cell. The energy of formation from the pure elements comes out at -0.486 eV per atom.

7.
# DyZrSnAu

A relaxed DyZrSnAu crystal (PBE-GGA, the Alexandria database).

Cell lengths 5.0714, 5.0714, 5.0714 Å; angles 60.00, 60.00, 60.00 degrees
Last column: nearest neighbours and their distance in Å.
Atoms (fractional coordinates):
Au1 0.7500 0.7500 0.7500  4 Dy 3.11, 4 Zr 3.11
Sn1 0.2500 0.2500 0.2500  4 Dy 3.11, 4 Zr 3.11
Zr1 0.0000 0.0000 0.0000  4 Sn 3.11, 4 Au 3.11
Dy1 0.5000 0.5000 0.5000  4 Sn 3.11, 4 Au 3.11

## Properties
For the density of states at the Fermi level, the calculation gives 4.513 states/eV/cell. The energy of formation from the pure elements comes out at -0.517 eV per atom.

8.
# SrDyAu2

A relaxed SrDyAu2 crystal (PBE-GGA, the Alexandria database).

Cell lengths 5.0046, 5.0046, 5.8023 Å; angles 64.45, 64.45, 60.00 degrees
Last column: nearest neighbours and their distance in Å.
Atoms (fractional coordinates):
Sr1 0.0000 0.0000 0.0000  8 Au 3.25-3.39
Au1 0.7846 0.7846 0.6463  3 Dy 2.98, 3 Au 3.24, 1 Sr 3.25
Au2 0.2154 0.2154 0.3537  3 Dy 2.98, 3 Au 3.24, 1 Sr 3.25
Dy1 0.5000 0.5000 0.5000  6 Au 2.98

## Properties
For the density of states at the Fermi level, the calculation gives 2.932 states/eV/cell. The energy of formation from the pure elements comes out at -0.717 eV per atom.

9.
# SrDy2Au

A relaxed SrDy2Au crystal (PBE-GGA, the Alexandria database).

Cell lengths 3.9835, 3.9835, 10.4085 Å; angles 78.97, 78.97, 60.00 degrees
Last column: nearest neighbours and their distance in Å.
Atoms (fractional coordinates):
Sr1 0.5014 0.5014 0.4959  6 Dy 3.96-4.05, 6 Sr 3.98
Dy1 0.0584 0.0584 0.8247  3 Au 2.92
Dy2 0.2741 0.2741 0.1778  3 Au 2.91
Au1 0.6661 0.6661 0.0016  6 Dy 2.91-2.92

## Properties
For the density of states at the Fermi level, the calculation gives 4.813 states/eV/cell. The energy of formation from the pure elements comes out at -0.241 eV per atom.

10.
# SrDyAu2

A relaxed SrDyAu2 crystal (PBE-GGA, the Alexandria database).

Cell lengths 3.7021, 3.7021, 7.5347 Å; angles 90.00, 90.00, 90.00 degrees
Last column: nearest neighbours and their distance in Å.
Atoms (fractional coordinates):
Sr1 0.5000 0.5000 0.5000  8 Au 3.41, 4 Sr 3.70, 2 Dy 3.77
Au1 0.0000 0.0000 0.7896  4 Dy 3.06, 1 Au 3.17, 4 Sr 3.41
Au2 0.0000 0.0000 0.2104  4 Dy 3.06, 1 Au 3.17, 4 Sr 3.41
Dy1 0.5000 0.5000 0.0000  8 Au 3.06

## Properties
For the density of states at the Fermi level, the calculation gives 3.105 states/eV/cell. The energy of formation from the pure elements comes out at -0.802 eV per atom.

11.
# SrDy2Au

A relaxed SrDy2Au crystal (PBE-GGA, the Alexandria database).

Cell lengths 3.9680, 3.9680, 10.5247 Å; angles 79.13, 79.13, 60.00 degrees
Last column: nearest neighbours and their distance in Å.
Atoms (fractional coordinates):
Sr1 0.5000 0.5000 0.5000  6 Sr 3.97, 6 Dy 4.04
Au1 0.0000 0.0000 0.0000  6 Dy 2.92
Dy1 0.2746 0.2746 0.1763  3 Au 2.92
Dy2 0.7254 0.7254 0.8237  3 Au 2.92

## Properties
For the density of states at the Fermi level, the calculation gives 5.028 states/eV/cell. The energy of formation from the pure elements comes out at -0.227 eV per atom.

12.
# SrDyAu2

A relaxed SrDyAu2 crystal (PBE-GGA, the Alexandria database).

Cell lengths 4.2055, 4.2055, 7.9991 Å; angles 74.76, 74.76, 60.00 degrees
Last column: nearest neighbours and their distance in Å.
Atoms (fractional coordinates):
Sr1 0.4983 0.4983 0.5051  6 Au 3.21-3.26
Dy1 0.6684 0.6684 0.9949  6 Au 2.93-2.97
Au1 0.0732 0.0732 0.7804  3 Dy 2.93, 3 Sr 3.21
Au2 0.2601 0.2601 0.2196  3 Dy 2.97, 3 Sr 3.26

## Properties
For the density of states at the Fermi level, the calculation gives 2.434 states/eV/cell. The energy of formation from the pure elements comes out at -0.692 eV per atom.

13.
# SrDyTlAu

A relaxed SrDyTlAu crystal (PBE-GGA, the Alexandria database).

Cell lengths 5.4023, 5.4023, 5.4023 Å; angles 60.00, 60.00, 60.00 degrees
Last column: nearest neighbours and their distance in Å.
Atoms (fractional coordinates):
Sr1 0.2500 0.2500 0.2500  4 Tl 3.31, 4 Au 3.31
Tl1 0.5000 0.5000 0.5000  4 Dy 3.31, 4 Sr 3.31
Au1 0.0000 0.0000 0.0000  4 Sr 3.31, 4 Dy 3.31
Dy1 0.7500 0.7500 0.7500  4 Au 3.31, 4 Tl 3.31

## Properties
For the density of states at the Fermi level, the calculation gives 4.306 states/eV/cell. The energy of formation from the pure elements comes out at -0.491 eV per atom.

14.
# SrDyZn2Au2

A relaxed SrDyZn2Au2 crystal (PBE-GGA, the Alexandria database).

Cell lengths 4.5934, 4.5934, 7.6760 Å; angles 90.00, 90.00, 120.00 degrees
Last column: nearest neighbours and their distance in Å.
Atoms (fractional coordinates):
Sr1 0.0000 0.0000 0.0000  6 Zn 3.45, 6 Au 3.47, 2 Dy 3.84
Dy1 0.0000 0.0000 0.5000  6 Au 3.10, 6 Zn 3.11
Zn1 0.6667 0.3333 0.2872  3 Au 2.65
Zn2 0.3333 0.6667 0.7128  3 Au 2.65
Au1 0.6667 0.3333 0.7092  3 Zn 2.65
Au2 0.3333 0.6667 0.2908  3 Zn 2.65

## Properties
For the density of states at the Fermi level, the calculation gives 2.736 states/eV/cell. The energy of formation from the pure elements comes out at -0.641 eV per atom.

15.
# SrDyZn2Au5

A relaxed SrDyZn2Au5 crystal (PBE-GGA, the Alexandria database).

Cell lengths 4.5609, 4.5609, 9.1791 Å; angles 90.00, 90.00, 90.00 degrees
Last column: nearest neighbours and their distance in Å.
Atoms (fractional coordinates):
Sr1 0.0000 0.0000 0.5000  12 Au 3.20-3.23
Dy1 0.0000 0.0000 0.0000  8 Au 3.27, 8 Zn 3.44
Zn1 0.5000 0.5000 0.1297  1 Zn 2.38, 4 Au 2.56
Zn2 0.5000 0.5000 0.8703  1 Zn 2.38, 4 Au 2.56
Au1 0.0000 0.5000 0.2553  2 Zn 2.56
Au2 0.5000 0.0000 0.2553  2 Zn 2.56
Au3 0.0000 0.5000 0.7447  2 Zn 2.56
Au4 0.5000 0.0000 0.7447  2 Zn 2.56
Au5 0.5000 0.5000 0.5000  8 Au 3.20, 4 Sr 3.23, 2 Zn 3.40

## Properties
For the density of states at the Fermi level, the calculation gives 2.979 states/eV/cell. The energy of formation from the pure elements comes out at -0.464 eV per atom.

16.
# TbDyAu

A relaxed TbDyAu crystal (PBE-GGA, the Alexandria database).

Cell lengths 4.9830, 4.9830, 4.9830 Å; angles 60.00, 60.00, 60.00 degrees
Last column: nearest neighbours and their distance in Å.
Atoms (fractional coordinates):
Tb1 0.0000 0.0000 0.0000  4 Au 3.05
Au1 0.2500 0.2500 0.2500  4 Tb 3.05, 4 Dy 3.05
Dy1 0.5000 0.5000 0.5000  4 Au 3.05

## Properties
For the density of states at the Fermi level, the calculation gives 3.969 states/eV/cell. The energy of formation from the pure elements comes out at -0.440 eV per atom.

17.
# Tb2DyAu2

A relaxed Tb2DyAu2 crystal (PBE-GGA, the Alexandria database).

Cell lengths 3.8048, 8.1976, 8.1976 Å; angles 90.00, 90.00, 90.00 degrees
Last column: nearest neighbours and their distance in Å.
Atoms (fractional coordinates):
Tb1 0.5000 0.1634 0.6634  6 Au 3.04-3.09
Tb2 0.5000 0.6634 0.8366  6 Au 3.04-3.09
Tb3 0.5000 0.8366 0.3366  6 Au 3.04-3.09
Tb4 0.5000 0.3366 0.1634  6 Au 3.04-3.09
Dy1 0.0000 0.0000 0.0000  4 Au 3.20
Dy2 0.0000 0.5000 0.5000  4 Au 3.20
Au1 0.0000 0.3677 0.8677  6 Tb 3.04-3.09, 1 Au 3.07, 2 Dy 3.20
Au2 0.0000 0.8677 0.6323  6 Tb 3.04-3.09, 1 Au 3.07, 2 Dy 3.20
Au3 0.0000 0.6323 0.1323  6 Tb 3.04-3.09, 1 Au 3.07, 2 Dy 3.20
Au4 0.0000 0.1323 0.3677  6 Tb 3.04-3.09, 1 Au 3.07, 2 Dy 3.20

## Properties
For the density of states at the Fermi level, the calculation gives 12.109 states/eV/cell. The energy of formation from the pure elements comes out at -0.698 eV per atom.

18.
# TbDyAu2

A relaxed TbDyAu2 crystal (PBE-GGA, the Alexandria database).

Cell lengths 3.7229, 4.7043, 5.8249 Å; angles 90.00, 108.60, 90.00 degrees
Last column: nearest neighbours and their distance in Å.
Atoms (fractional coordinates):
Tb1 0.4443 0.5000 0.4268  7 Au 3.01-3.13
Dy1 0.7209 0.0000 0.9817  7 Au 3.01-3.12
Au1 0.1714 0.5000 0.8817  3 Tb 3.01-3.13, 4 Dy 3.05, 2 Au 3.06
Au2 0.9943 0.0000 0.5278  3 Dy 3.01-3.12, 4 Tb 3.05, 2 Au 3.06

## Properties
For the density of states at the Fermi level, the calculation gives 2.303 states/eV/cell. The energy of formation from the pure elements comes out at -0.880 eV per atom.

19.
# Tb2DyAu3

A relaxed Tb2DyAu3 crystal (PBE-GGA, the Alexandria database).

Cell lengths 5.0986, 5.0986, 6.2819 Å; angles 90.00, 90.00, 120.00 degrees
Last column: nearest neighbours and their distance in Å.
Atoms (fractional coordinates):
Tb1 0.6667 0.3333 0.3327  8 Au 3.13-3.15
Tb2 0.3333 0.6667 0.6673  8 Au 3.13-3.15
Dy1 0.0000 0.0000 0.0000  8 Au 3.12-3.14
Au1 0.0000 0.0000 0.5000  6 Tb 3.13, 2 Dy 3.14
Au2 0.6667 0.3333 0.8347  3 Dy 3.12, 5 Tb 3.13-3.15
Au3 0.3333 0.6667 0.1653  3 Dy 3.12, 5 Tb 3.13-3.15

## Properties
For the density of states at the Fermi level, the calculation gives 2.504 states/eV/cell. The energy of formation from the pure elements comes out at -0.856 eV per atom.

20.
# TbDyAu2

A relaxed TbDyAu2 crystal (PBE-GGA, the Alexandria database).

Cell lengths 5.1038, 5.1038, 5.1038 Å; angles 60.00, 60.00, 60.00 degrees
Last column: nearest neighbours and their distance in Å.
Atoms (fractional coordinates):
Tb1 0.0000 0.0000 0.0000  8 Au 3.13
Au1 0.2500 0.2500 0.2500  4 Tb 3.13, 4 Dy 3.13
Au2 0.7500 0.7500 0.7500  4 Tb 3.13, 4 Dy 3.13
Dy1 0.5000 0.5000 0.5000  8 Au 3.13

## Properties
For the density of states at the Fermi level, the calculation gives 2.221 states/eV/cell. The energy of formation from the pure elements comes out at -0.853 eV per atom.